Entry 1:
## CdHg2S (GGA-PBE)

Data for a relaxed structure of CdHg2S.

The structure belongs to space group R-3m (No. 166, hexagonal axes); the cell edges are 3.9266, 3.9266 and 25.9665 Å and the angles 90.00°, 90.00° and 120.00°. Symmetry generates all atoms from Cd at (0.0000, 0.0000, 0.0000), Hg at (0.0000, 0.0000, 0.1044) and S at (0.0000, 0.0000, 0.5000).

The formation energy (no corrections) is 0.06 eV per atom. The volume comes out at 346.7 Å³ per cell.

---

Entry 2:
## CdHg2S3 (GGA-PBE)

Data for a relaxed structure of CdHg2S3.

The structure belongs to space group Cmc2_1 (No. 36); the cell edges are 12.6681, 7.3173 and 6.8994 Å and the angles 90.00°, 90.00° and 90.00°. Symmetry generates all atoms from Cd at (0.0000, 0.1660, 0.0000), Hg at (0.1665, 0.3332, 0.4982), S at (0.0000, 0.1639, 0.3729) and S at (0.1653, 0.3321, 0.8757).

The formation energy (no corrections) is -0.30 eV per atom. The volume comes out at 639.6 Å³ per cell.

---

Entry 3:
## CdHgS4 (GGA-PBE)

Data for a relaxed structure of CdHgS4.

The structure belongs to space group I-4 (No. 82); the cell edges are 9.7950, 9.7950 and 2.9528 Å and the angles 90.00°, 90.00° and 90.00°. Symmetry generates all atoms from Cd at (0.0000, 0.0000, 0.0000), Hg at (0.0000, 0.5000, 0.7500) and S at (0.1654, 0.7486, 0.0957).

The formation energy (no corrections) is 0.33 eV per atom. The volume comes out at 283.3 Å³ per cell.

---

Entry 4:
## Cd3HgS4 (GGA-PBE)

Data for a relaxed structure of Cd3HgS4.

The structure belongs to space group P-43m (No. 215); the cell edges are 5.9434, 5.9434 and 5.9434 Å and the angles 90.00°, 90.00° and 90.00°. Symmetry generates all atoms from Cd at (0.0000, 0.0000, 0.5000), Hg at (0.5000, 0.5000, 0.5000) and S at (0.2480, 0.2480, 0.7520).

The formation energy (no corrections) is -0.51 eV per atom. The volume comes out at 209.9 Å³ per cell.

---

Entry 5:
## Cd2HgS (GGA-PBE)

Data for a relaxed structure of Cd2HgS.

The structure belongs to space group R-3m (No. 166, hexagonal axes); the cell edges are 3.8090, 3.8090 and 22.4191 Å and the angles 90.00°, 90.00° and 120.00°. Symmetry generates all atoms from Cd at (0.0000, 0.0000, 0.2391), Hg at (0.0000, 0.0000, 0.0000) and S at (0.0000, 0.0000, 0.5000).

The formation energy (no corrections) is -0.17 eV per atom. The volume comes out at 281.7 Å³ per cell.

---

Entry 6:
## CdHgS (GGA-PBE)

Data for a relaxed structure of CdHgS.

The structure belongs to space group P3m1 (No. 156); the cell edges are 4.1569, 4.1569 and 5.8522 Å and the angles 90.00°, 90.00° and 120.00°. Symmetry generates all atoms from Cd at (0.0000, 0.0000, 0.0000), Hg at (0.3333, 0.6667, 0.5740) and S at (0.6667, 0.3333, 0.1202).

The formation energy (no corrections) is -0.24 eV per atom. The volume comes out at 87.6 Å³ per cell.

---

The highest formation energy (no corrections) belongs to which entry? CdHgS4